1.
## ScCrTe2 (meta-GGA SCAN)

Data for ScCrTe2 at its PBEsol-relaxed geometry.

Computed properties:
Density of states at the Fermi level = 2.8 states/eV/cell
E_form (uncorrected) = -483.6 meV per atom
Crystal system = orthorhombic
Relative energy among the computed polymorphs = 329 meV per atom
Magnetic moment = 9.27 Bohr magnetons per cell

abc: 4.6506 5.2948 7.1889
angles: 90.00 90.00 90.00
With the nearest neighbours (Å) after each atom.
Space group Immm (No. 71)
Inequivalent atoms, fractional coordinates:
Sc: 0.0000 0.0000 0.0000  8 Te 3.01-3.14
Cr: 0.0000 0.0000 0.5000  4 Te 2.87
Te: 0.0000 0.5000 0.2339  2 Cr 2.87, 4 Sc 3.01-3.14



2.
## Sc2CrTe (meta-GGA SCAN)

Data for Sc2CrTe at its PBEsol-relaxed geometry.

Computed properties:
Density of states at the Fermi level = 6.3 states/eV/cell
E_form (uncorrected) = -381.4 meV per atom
Crystal system = orthorhombic
Magnetic moment = 7.49 Bohr magnetons per cell

abc: 3.7125 4.3902 9.8022
angles: 90.00 90.00 90.00
With the nearest neighbours (Å) after each atom.
Space group Imm2 (No. 44)
Inequivalent atoms, fractional coordinates:
Sc: 0.0000 0.0000 0.0000  4 Cr 2.88, 2 Te 3.15, 4 Sc 3.17-3.21
Sc: 0.0000 0.5000 0.2328  4 Te 2.90, 2 Cr 3.01, 4 Sc 3.17-3.21
Cr: 0.0000 0.0000 0.4907  2 Te 2.85, 6 Sc 2.88-3.01
Te: 0.0000 0.5000 0.7697  2 Cr 2.85, 6 Sc 2.90-3.15